(1)
Here is an optimized crystal structure of Li2ErTm2Pd5 from Alexandria. Energies are from PBE-GGA.

```
data_Li2ErTm2Pd5
_chemical_formula_sum 'Li4 Er2 Tm4 Pd10'
_symmetry_space_group_name_H-M 'P 1'
_symmetry_Int_Tables_number 1
_cell_length_a 9.8396
_cell_length_b 9.8396
_cell_length_c 3.6446
_cell_angle_alpha 90.00
_cell_angle_beta 90.00
_cell_angle_gamma 90.00
loop_
_symmetry_equiv_pos_as_xyz
'x,y,z'
loop_
_atom_site_label
_atom_site_type_symbol
_atom_site_fract_x
_atom_site_fract_y
_atom_site_fract_z
_atom_site_occupancy
Li1 Li 0.1207 0.3793 0.0000 1
Li2 Li 0.3793 0.8793 0.0000 1
Li3 Li 0.6207 0.1207 0.0000 1
Li4 Li 0.8793 0.6207 0.0000 1
Er1 Er 0.0000 0.0000 0.0000 1
Er2 Er 0.5000 0.5000 0.0000 1
Tm1 Tm 0.1744 0.6744 0.0000 1
Tm2 Tm 0.3256 0.1744 0.0000 1
Tm3 Tm 0.6744 0.8256 0.0000 1
Tm4 Tm 0.8256 0.3256 0.0000 1
Pd1 Pd 0.0000 0.5000 0.5000 1
Pd2 Pd 0.0714 0.2131 0.5000 1
Pd3 Pd 0.2131 0.9286 0.5000 1
Pd4 Pd 0.2869 0.4286 0.5000 1
Pd5 Pd 0.4286 0.7131 0.5000 1
Pd6 Pd 0.5000 0.0000 0.5000 1
Pd7 Pd 0.5714 0.2869 0.5000 1
Pd8 Pd 0.7131 0.5714 0.5000 1
Pd9 Pd 0.7869 0.0714 0.5000 1
Pd10 Pd 0.9286 0.7869 0.5000 1
```

Summary:
The total energy is -5.094 eV/atom. The value obtained for the density of states at the Fermi level is 8.24 states/eV per cell.


(2)
Here is an optimized crystal structure of Li2Er2TmPd5 from Alexandria. Energies are from PBE-GGA.

```
data_Li2Er2TmPd5
_chemical_formula_sum 'Li4 Er4 Tm2 Pd10'
_symmetry_space_group_name_H-M 'P 1'
_symmetry_Int_Tables_number 1
_cell_length_a 9.8505
_cell_length_b 9.8505
_cell_length_c 3.6454
_cell_angle_alpha 90.00
_cell_angle_beta 90.00
_cell_angle_gamma 90.00
loop_
_symmetry_equiv_pos_as_xyz
'x,y,z'
loop_
_atom_site_label
_atom_site_type_symbol
_atom_site_fract_x
_atom_site_fract_y
_atom_site_fract_z
_atom_site_occupancy
Li1 Li 0.1207 0.3793 0.0000 1
Li2 Li 0.3793 0.8793 0.0000 1
Li3 Li 0.6207 0.1207 0.0000 1
Li4 Li 0.8793 0.6207 0.0000 1
Er1 Er 0.1746 0.6746 0.0000 1
Er2 Er 0.3254 0.1746 0.0000 1
Er3 Er 0.6746 0.8254 0.0000 1
Er4 Er 0.8254 0.3254 0.0000 1
Tm1 Tm 0.0000 0.0000 0.0000 1
Tm2 Tm 0.5000 0.5000 0.0000 1
Pd1 Pd 0.0000 0.5000 0.5000 1
Pd2 Pd 0.0706 0.2127 0.5000 1
Pd3 Pd 0.2127 0.9294 0.5000 1
Pd4 Pd 0.2873 0.4294 0.5000 1
Pd5 Pd 0.4294 0.7127 0.5000 1
Pd6 Pd 0.5000 0.0000 0.5000 1
Pd7 Pd 0.5706 0.2873 0.5000 1
Pd8 Pd 0.7127 0.5706 0.5000 1
Pd9 Pd 0.7873 0.0706 0.5000 1
Pd10 Pd 0.9294 0.7873 0.5000 1
```

Summary:
The total energy is -5.106 eV/atom. The value obtained for the density of states at the Fermi level is 8.32 states/eV per cell.


(3)
Here is an optimized crystal structure of LiYEr2Pd4 from Alexandria. Energies are from PBE-GGA.

```
data_LiYEr2Pd4
_chemical_formula_sum 'Li1 Y1 Er2 Pd4'
_symmetry_space_group_name_H-M 'P 1'
_symmetry_Int_Tables_number 1
_cell_length_a 8.3017
_cell_length_b 8.3017
_cell_length_c 8.3017
_cell_angle_alpha 33.97
_cell_angle_beta 33.97
_cell_angle_gamma 33.97
loop_
_symmetry_equiv_pos_as_xyz
'x,y,z'
loop_
_atom_site_label
_atom_site_type_symbol
_atom_site_fract_x
_atom_site_fract_y
_atom_site_fract_z
_atom_site_occupancy
Li1 Li 0.0000 0.0000 0.0000 1
Y1 Y 0.5000 0.5000 0.5000 1
Er1 Er 0.2575 0.2575 0.2575 1
Er2 Er 0.7425 0.7425 0.7425 1
Pd1 Pd 0.1240 0.1240 0.1240 1
Pd2 Pd 0.3777 0.3777 0.3777 1
Pd3 Pd 0.6223 0.6223 0.6223 1
Pd4 Pd 0.8760 0.8760 0.8760 1
```

Summary:
The total energy is -5.588 eV/atom. The value obtained for the density of states at the Fermi level is 4.33 states/eV per cell.


(4)
Here is an optimized crystal structure of LiYErPd from Alexandria. Energies are from PBE-GGA.

```
data_LiYErPd
_chemical_formula_sum 'Li1 Y1 Er1 Pd1'
_symmetry_space_group_name_H-M 'P 1'
_symmetry_Int_Tables_number 1
_cell_length_a 5.0125
_cell_length_b 5.0125
_cell_length_c 5.0125
_cell_angle_alpha 60.00
_cell_angle_beta 60.00
_cell_angle_gamma 60.00
loop_
_symmetry_equiv_pos_as_xyz
'x,y,z'
loop_
_atom_site_label
_atom_site_type_symbol
_atom_site_fract_x
_atom_site_fract_y
_atom_site_fract_z
_atom_site_occupancy
Li1 Li 0.0000 0.0000 0.0000 1
Y1 Y 0.2500 0.2500 0.2500 1
Er1 Er 0.7500 0.7500 0.7500 1
Pd1 Pd 0.5000 0.5000 0.5000 1
```

Summary:
The total energy is -4.960 eV/atom. The value obtained for the density of states at the Fermi level is 2.59 states/eV per cell.


Among the records above, which one has the lowest density of states at the Fermi level? LiYErPd


Copy entry 1 word for word.
Here is an optimized crystal structure of Li2ErTm2Pd5 from Alexandria. Energies are from PBE-GGA.

```
data_Li2ErTm2Pd5
_chemical_formula_sum 'Li4 Er2 Tm4 Pd10'
_symmetry_space_group_name_H-M 'P 1'
_symmetry_Int_Tables_number 1
_cell_length_a 9.8396
_cell_length_b 9.8396
_cell_length_c 3.6446
_cell_angle_alpha 90.00
_cell_angle_beta 90.00
_cell_angle_gamma 90.00
loop_
_symmetry_equiv_pos_as_xyz
'x,y,z'
loop_
_atom_site_label
_atom_site_type_symbol
_atom_site_fract_x
_atom_site_fract_y
_atom_site_fract_z
_atom_site_occupancy
Li1 Li 0.1207 0.3793 0.0000 1
Li2 Li 0.3793 0.8793 0.0000 1
Li3 Li 0.6207 0.1207 0.0000 1
Li4 Li 0.8793 0.6207 0.0000 1
Er1 Er 0.0000 0.0000 0.0000 1
Er2 Er 0.5000 0.5000 0.0000 1
Tm1 Tm 0.1744 0.6744 0.0000 1
Tm2 Tm 0.3256 0.1744 0.0000 1
Tm3 Tm 0.6744 0.8256 0.0000 1
Tm4 Tm 0.8256 0.3256 0.0000 1
Pd1 Pd 0.0000 0.5000 0.5000 1
Pd2 Pd 0.0714 0.2131 0.5000 1
Pd3 Pd 0.2131 0.9286 0.5000 1
Pd4 Pd 0.2869 0.4286 0.5000 1
Pd5 Pd 0.4286 0.7131 0.5000 1
Pd6 Pd 0.5000 0.0000 0.5000 1
Pd7 Pd 0.5714 0.2869 0.5000 1
Pd8 Pd 0.7131 0.5714 0.5000 1
Pd9 Pd 0.7869 0.0714 0.5000 1
Pd10 Pd 0.9286 0.7869 0.5000 1
```

Summary:
The total energy is -5.094 eV/atom. The value obtained for the density of states at the Fermi level is 8.24 states/eV per cell.


Copy entry 3 word for word.
Here is an optimized crystal structure of LiYEr2Pd4 from Alexandria. Energies are from PBE-GGA.

```
data_LiYEr2Pd4
_chemical_formula_sum 'Li1 Y1 Er2 Pd4'
_symmetry_space_group_name_H-M 'P 1'
_symmetry_Int_Tables_number 1
_cell_length_a 8.3017
_cell_length_b 8.3017
_cell_length_c 8.3017
_cell_angle_alpha 33.97
_cell_angle_beta 33.97
_cell_angle_gamma 33.97
loop_
_symmetry_equiv_pos_as_xyz
'x,y,z'
loop_
_atom_site_label
_atom_site_type_symbol
_atom_site_fract_x
_atom_site_fract_y
_atom_site_fract_z
_atom_site_occupancy
Li1 Li 0.0000 0.0000 0.0000 1
Y1 Y 0.5000 0.5000 0.5000 1
Er1 Er 0.2575 0.2575 0.2575 1
Er2 Er 0.7425 0.7425 0.7425 1
Pd1 Pd 0.1240 0.1240 0.1240 1
Pd2 Pd 0.3777 0.3777 0.3777 1
Pd3 Pd 0.6223 0.6223 0.6223 1
Pd4 Pd 0.8760 0.8760 0.8760 1
```

Summary:
The total energy is -5.588 eV/atom. The value obtained for the density of states at the Fermi level is 4.33 states/eV per cell.